(1)
The following is a DFT calculation (GGA-PBEsol) of a relaxed structure of SrSe3. Values from VASP.

Cell and atoms, written as Quantum ESPRESSO input:
```
&SYSTEM
  ibrav = 0, nat = 4, ntyp = 2
/
ATOMIC_SPECIES
Se 78.96 Se.upf
Sr 87.62 Sr.upf
ATOMIC_POSITIONS angstrom
Se 0.000 0.000 0.000
Se -1.256 0.260 2.662
Se 1.426 -0.053 3.957
Sr 2.681 -0.313 1.296
CELL_PARAMETERS angstrom
-0.865 3.187 2.560
-1.646 -2.667 2.763
5.363 -0.626 2.591
```

Results
Total magnetic moment = 0.000 μB/cell
Symmetry = No. 123
Formation energy without anion corrections = -19.58 kcal/mol of atoms

(2)
The following is a DFT calculation (GGA-PBEsol) of a relaxed structure of SrSe. Values from VASP.

Cell and atoms, written as Quantum ESPRESSO input:
```
&SYSTEM
  ibrav = 0, nat = 2, ntyp = 2
/
ATOMIC_SPECIES
Sr 87.62 Sr.upf
Se 78.96 Se.upf
ATOMIC_POSITIONS angstrom
Sr 1.166 5.323 7.051
Se 0.000 0.000 0.000
CELL_PARAMETERS angstrom
-0.291 4.568 1.605
-1.377 0.883 4.567
3.223 1.646 3.230
```

Results
Total magnetic moment = 0.000 μB/cell
Symmetry = No. 216
Formation energy without anion corrections = -40.00 kcal/mol of atoms

(3)
The following is a DFT calculation (GGA-PBEsol) of a relaxed structure of SrSe3. Values from VASP.

Cell and atoms, written as Quantum ESPRESSO input:
```
&SYSTEM
  ibrav = 0, nat = 8, ntyp = 2
/
ATOMIC_SPECIES
Se 78.96 Se.upf
Sr 87.62 Sr.upf
ATOMIC_POSITIONS angstrom
Se -0.574 -4.907 -1.326
Se 1.079 -2.604 -1.455
Se 4.158 -2.978 0.112
Se 2.253 -1.525 1.632
Se -1.003 -2.702 1.326
Se 0.297 -3.501 3.718
Sr 0.000 0.000 0.000
Sr 1.553 -4.554 1.002
CELL_PARAMETERS angstrom
-3.305 -4.606 0.259
3.811 -2.906 -3.040
2.600 -1.597 4.785
```

Results
Total magnetic moment = 0.000 μB/cell
Symmetry = No. 223
Formation energy without anion corrections = -16.49 kcal/mol of atoms

(4)
The following is a DFT calculation (GGA-PBEsol) of a relaxed structure of Sr3Se2. Values from VASP.

Cell and atoms, written as Quantum ESPRESSO input:
```
&SYSTEM
  ibrav = 0, nat = 5, ntyp = 2
/
ATOMIC_SPECIES
Sr 87.62 Sr.upf
Se 78.96 Se.upf
ATOMIC_POSITIONS angstrom
Sr 0.000 0.000 0.000
Sr 3.980 -1.794 -0.449
Sr 5.116 -5.202 1.951
Se 8.008 -4.158 2.076
Se 1.088 -2.838 -0.574
CELL_PARAMETERS angstrom
-1.825 -3.869 -0.712
2.780 1.651 -2.890
8.140 -4.777 5.104
```

Results
Total magnetic moment = 0.000 μB/cell
Symmetry = No. 164
Formation energy without anion corrections = -36.88 kcal/mol of atoms

(5)
The following is a DFT calculation (GGA-PBEsol) of a relaxed structure of SrSe3. Values from VASP.

Cell and atoms, written as Quantum ESPRESSO input:
```
&SYSTEM
  ibrav = 0, nat = 4, ntyp = 2
/
ATOMIC_SPECIES
Se 78.96 Se.upf
Sr 87.62 Sr.upf
ATOMIC_POSITIONS angstrom
Se -1.854 2.144 1.101
Se 1.588 1.293 2.406
Se -0.658 3.229 3.238
Sr 0.000 0.000 0.000
CELL_PARAMETERS angstrom
-1.141 3.847 -1.315
-2.566 0.441 3.516
4.637 0.235 3.444
```

Results
Total magnetic moment = 0.000 μB/cell
Symmetry = No. 12
Formation energy without anion corrections = -18.86 kcal/mol of atoms

(6)
The following is a DFT calculation (GGA-PBEsol) of a relaxed structure of SrSe. Values from VASP.

Cell and atoms, written as Quantum ESPRESSO input:
```
&SYSTEM
  ibrav = 0, nat = 2, ntyp = 2
/
ATOMIC_SPECIES
Sr 87.62 Sr.upf
Se 78.96 Se.upf
ATOMIC_POSITIONS angstrom
Sr 0.000 0.000 0.000
Se -4.984 -1.984 -0.280
CELL_PARAMETERS angstrom
-4.261 1.028 -0.138
-2.762 -2.417 -2.401
-2.944 -2.580 1.978
```

Results
Total magnetic moment = 0.000 μB/cell
Symmetry = No. 225
Formation energy without anion corrections = -47.77 kcal/mol of atoms